(1)
# TcPb2Au | Alexandria | GGA-PBE | optimized geometry
data_TcPb2Au
_chemical_formula_sum 'Tc2 Pb4 Au2'
_symmetry_space_group_name_H-M 'I m m 2'
_symmetry_Int_Tables_number 44
_cell_length_a 3.134
_cell_length_b 4.566
_cell_length_c 13.129
_cell_angle_alpha 90.00
_cell_angle_beta 90.00
_cell_angle_gamma 90.00
loop_
_symmetry_equiv_pos_as_xyz
'x,y,z'
'-x,-y,z'
'-x,y,z'
'x,-y,z'
'x+1/2,y+1/2,z+1/2'
'-x+1/2,-y+1/2,z+1/2'
'-x+1/2,y+1/2,z+1/2'
'x+1/2,-y+1/2,z+1/2'
loop_
_atom_site_label
_atom_site_type_symbol
_atom_site_fract_x
_atom_site_fract_y
_atom_site_fract_z
_atom_site_occupancy
Tc1 Tc 0.000 0.000 0.000 1
Pb1 Pb 0.000 0.000 0.504 1
Pb2 Pb 0.000 0.500 0.297 1
Au1 Au 0.000 0.500 0.678 1
# Fermi-level density of states   5.395 states/eV/cell
# E_tot   -4.88 eV per atom
# ΔE_f   0.39 eV/atom

***

(2)
# TcPb2Au | Alexandria | GGA-PBE | optimized geometry
data_TcPb2Au
_chemical_formula_sum 'Tc1 Pb2 Au1'
_symmetry_space_group_name_H-M 'P 4/m m m'
_symmetry_Int_Tables_number 123
_symmetry_space_group_name_Hall '-P 4 2'
_cell_length_a 3.626
_cell_length_b 3.626
_cell_length_c 6.464
_cell_angle_alpha 90.00
_cell_angle_beta 90.00
_cell_angle_gamma 90.00
loop_
_atom_site_label
_atom_site_type_symbol
_atom_site_fract_x
_atom_site_fract_y
_atom_site_fract_z
_atom_site_occupancy
Tc1 Tc 0.000 0.000 0.000 1
Pb1 Pb 0.500 0.500 0.239 1
Au1 Au 0.000 0.000 0.500 1
# Fermi-level density of states   1.783 states/eV/cell
# E_tot   -4.80 eV per atom
# ΔE_f   0.46 eV/atom

***

(3)
# TcPbAu4 | Alexandria | GGA-PBE | optimized geometry
data_TcPbAu4
_chemical_formula_sum 'Tc4 Pb4 Au16'
_symmetry_space_group_name_H-M 'F -4 3 m'
_symmetry_Int_Tables_number 216
_symmetry_space_group_name_Hall 'F -4 2 3'
_cell_length_a 7.906
_cell_length_b 7.906
_cell_length_c 7.906
_cell_angle_alpha 90.00
_cell_angle_beta 90.00
_cell_angle_gamma 90.00
loop_
_atom_site_label
_atom_site_type_symbol
_atom_site_fract_x
_atom_site_fract_y
_atom_site_fract_z
_atom_site_occupancy
Tc1 Tc 0.000 0.000 0.000 1
Pb1 Pb 0.250 0.250 0.250 1
Au1 Au 0.125 0.125 0.625 1
# Fermi-level density of states   11.795 states/eV/cell
# E_tot   -4.09 eV per atom
# ΔE_f   0.45 eV/atom

***

(4)
# TcPb2Au2 | Alexandria | GGA-PBE | optimized geometry
data_TcPb2Au2
_chemical_formula_sum 'Tc2 Pb4 Au4'
_symmetry_space_group_name_H-M 'I 4/m m m'
_symmetry_Int_Tables_number 139
_symmetry_space_group_name_Hall '-I 4 2'
_cell_length_a 4.426
_cell_length_b 4.426
_cell_length_c 13.060
_cell_angle_alpha 90.00
_cell_angle_beta 90.00
_cell_angle_gamma 90.00
loop_
_atom_site_label
_atom_site_type_symbol
_atom_site_fract_x
_atom_site_fract_y
_atom_site_fract_z
_atom_site_occupancy
Tc1 Tc 0.000 0.000 0.000 1
Pb1 Pb 0.000 0.500 0.250 1
Au1 Au 0.000 0.000 0.401 1
# Fermi-level density of states   5.491 states/eV/cell
# E_tot   -4.03 eV per atom
# ΔE_f   0.84 eV/atom

***

(5)
# TcPb2Au | Alexandria | GGA-PBE | optimized geometry
data_TcPb2Au
_chemical_formula_sum 'Tc2 Pb4 Au2'
_symmetry_space_group_name_H-M 'C 1 2/m 1'
_symmetry_Int_Tables_number 12
_cell_length_a 9.309
_cell_length_b 3.429
_cell_length_c 5.635
_cell_angle_alpha 90.00
_cell_angle_beta 102.21
_cell_angle_gamma 90.00
loop_
_symmetry_equiv_pos_as_xyz
'x,y,z'
'-x,-y,-z'
'-x,y,-z'
'x,-y,z'
'x+1/2,y+1/2,z'
'-x+1/2,-y+1/2,-z'
'-x+1/2,y+1/2,-z'
'x+1/2,-y+1/2,z'
loop_
_atom_site_label
_atom_site_type_symbol
_atom_site_fract_x
_atom_site_fract_y
_atom_site_fract_z
_atom_site_occupancy
Tc1 Tc 0.000 0.000 0.000 1
Pb1 Pb 0.240 0.500 0.232 1
Au1 Au 0.000 0.500 0.500 1
# Fermi-level density of states   6.263 states/eV/cell
# E_tot   -4.67 eV per atom
# ΔE_f   0.59 eV/atom

***

(6)
# Tc4PbAu | Alexandria | GGA-PBE | optimized geometry
data_Tc4PbAu
_chemical_formula_sum 'Tc16 Pb4 Au4'
_symmetry_space_group_name_H-M 'F -4 3 m'
_symmetry_Int_Tables_number 216
_symmetry_space_group_name_Hall 'F -4 2 3'
_cell_length_a 7.445
_cell_length_b 7.445
_cell_length_c 7.445
_cell_angle_alpha 90.00
_cell_angle_beta 90.00
_cell_angle_gamma 90.00
loop_
_atom_site_label
_atom_site_type_symbol
_atom_site_fract_x
_atom_site_fract_y
_atom_site_fract_z
_atom_site_occupancy
Tc1 Tc 0.124 0.124 0.124 1
Pb1 Pb 0.000 0.000 0.500 1
Au1 Au 0.250 0.250 0.750 1
# Fermi-level density of states   29.410 states/eV/cell
# E_tot   -7.44 eV per atom
# ΔE_f   0.64 eV/atom